LiPt2N | PBE | optimized geometry

Cell lengths 5.2365, 5.2365, 6.9884 Å; angles 68.00, 68.00, 90.00 degrees
Sites, in units of the cell vectors:
N 0.0000 0.0000 0.0000
Pt 0.3750 0.1270 0.7500
Li 0.5000 0.5000 0.0000
Li 0.2500 0.7500 0.5000
N 0.7500 0.2500 0.5000
Pt 0.8730 0.1250 0.2500
Pt 0.8750 0.1230 0.7500
Pt 0.8770 0.6250 0.2500

For the total energy, the calculation gives -5.39 eV/atom. The energy relative to the elements, uncorrected comes out at 0.773 eV per formula unit. As for the space group: I-42d (122).

***

MgIn2NiHg | PBE | optimized geometry

Cell lengths 4.9426, 4.9426, 5.0174 Å; angles 90.00, 90.00, 90.00 degrees
Sites, in units of the cell vectors:
In 0.0000 0.5000 0.0000
Mg 0.0000 0.0000 0.5000
Hg 0.5000 0.5000 0.5000
In 0.5000 0.0000 0.0000
Ni 0.0000 0.0000 0.0000

The calculated formation energy is -6 kJ per mole of atoms. For the total energy, the calculation gives -2.70 eV/atom. As for the space group: P4/mmm (123).

***

BeTlMo4 | PBE | optimized geometry

Cell lengths 5.2868, 5.2868, 5.2868 Å; angles 60.00, 60.00, 60.00 degrees
Sites, in units of the cell vectors:
Be 0.0000 0.0000 0.0000
Mo 0.6257 0.6257 0.6257
Mo 0.1230 0.6257 0.6257
Tl 0.2500 0.2500 0.2500
Mo 0.6257 0.1230 0.6257
Mo 0.6257 0.6257 0.1230

The calculated formation energy is 76 kJ per mole of atoms. For the total energy, the calculation gives -7.45 eV/atom. As for the space group: F-43m (216).

***

CoTe2Rh | PBE | optimized geometry

Cell lengths 3.5142, 3.5142, 6.8419 Å; angles 90.00, 90.00, 90.00 degrees
Sites, in units of the cell vectors:
Rh 0.5000 0.5000 0.7384
Co 0.0000 0.0000 0.5128
Te 0.5000 0.5000 0.3654
Te 0.0000 0.0000 0.8835

For the total energy, the calculation gives -5.28 eV/atom. The energy relative to the elements, uncorrected comes out at -0.383 eV per formula unit. As for the space group: P4mm (99).

***

CrNiAs2 | PBE | optimized geometry

Cell lengths 4.5086, 4.5086, 4.2352 Å; angles 77.80, 77.80, 41.29 degrees
Sites, in units of the cell vectors:
Ni 0.2631 0.2631 0.1938
As 0.0001 0.0001 0.0628
As 0.7578 0.7578 0.6515
Cr 0.4791 0.4791 0.5919

The value obtained for the offset from the most stable computed form is 85.0 meV/atom. The calculated formation energy is -3 kJ per mole of atoms. For the total energy, the calculation gives -6.21 eV/atom. As for the space group: Cm (8).

***

AcURu3 | PBE | optimized geometry

Cell lengths 4.3047, 6.3992, 8.6623 Å; angles 107.31, 104.39, 90.00 degrees
Sites, in units of the cell vectors:
Ru 0.9263 0.0615 0.8525
Ru 0.0737 0.9385 0.1475
Ac 0.5744 0.3239 0.1487
Ac 0.4256 0.6761 0.8513
Ru 0.3577 0.1807 0.7153
U 0.2131 0.1588 0.4262
Ru 0.2120 0.6039 0.4240
Ru 0.7880 0.3961 0.5760
U 0.7869 0.8412 0.5738
Ru 0.6423 0.8193 0.2847

The calculated formation energy is -17 kJ per mole of atoms. For the total energy, the calculation gives -8.82 eV/atom. As for the space group: C2/m (12).

***

CaTeAu | PBE | optimized geometry

Cell lengths 5.0343, 5.0343, 5.0343 Å; angles 60.00, 60.00, 60.00 degrees
Sites, in units of the cell vectors:
Ca 0.7500 0.7500 0.7500
Te 0.0000 0.0000 0.0000
Au 0.5000 0.5000 0.5000

The value obtained for the offset from the most stable computed form is 250.8 meV/atom. For the total energy, the calculation gives -3.48 eV/atom. The energy relative to the elements, uncorrected comes out at -2.020 eV per formula unit. As for the space group: F-43m (216).

***

SrFeRu | PBE | optimized geometry

Cell lengths 4.6302, 4.6302, 4.6302 Å; angles 60.00, 60.00, 60.00 degrees
Each line ends with the local moment (μB).
Sites, in units of the cell vectors:
Sr 0.2500 0.2500 0.2500  -0.05
Fe 0.0000 0.0000 0.0000  2.92
Ru 0.5000 0.5000 0.5000  1.02

The value obtained for the offset from the most stable computed form is 1500.1 meV/atom. The calculated formation energy is 172 kJ per mole of atoms. For the total energy, the calculation gives -4.69 eV/atom. As for the space group: F-43m (216).

***

CuNiBr2 | PBE | optimized geometry

Cell lengths 6.5326, 6.5326, 6.5326 Å; angles 33.39, 33.39, 33.39 degrees
Each line ends with the local moment (μB).
Sites, in units of the cell vectors:
Cu 0.2500 0.2500 0.2500  0.04
Ni 0.7500 0.7500 0.7500  0.86
Br 0.4965 0.4965 0.4965  0.07
Br 0.0035 0.0035 0.0035  0.07

The value obtained for the offset from the most stable computed form is 222.0 meV/atom. For the total energy, the calculation gives -3.20 eV/atom. The energy relative to the elements, uncorrected comes out at 0.439 eV per formula unit. As for the space group: R-3m (166).

***

Er3Zn9Sn2 | PBE | optimized geometry

Cell lengths 4.2794, 8.3076, 8.3076 Å; angles 73.87, 75.07, 75.07 degrees
Sites, in units of the cell vectors:
Zn 0.8438 0.4228 0.8896
Zn 0.3393 0.0389 0.2825
Sn 0.5000 0.2986 0.7014
Zn 0.3393 0.2825 0.0389
Sn 0.5000 0.7014 0.2986
Zn 0.6607 0.9611 0.7175
Er 0.6977 0.3023 0.3023
Er 0.0000 0.0000 0.0000
Zn 0.6607 0.7175 0.9611
Zn 0.8438 0.8896 0.4228
Zn 0.1562 0.5772 0.1104
Zn 0.1562 0.1104 0.5772
Zn 0.0000 0.5000 0.5000
Er 0.3023 0.6977 0.6977

The calculated formation energy is -31 kJ per mole of atoms. For the total energy, the calculation gives -2.69 eV/atom. As for the space group: Immm (71).

***

AlSi2Sn | PBE | optimized geometry

Cell lengths 5.9310, 5.9310, 7.1702 Å; angles 65.57, 65.57, 90.00 degrees
Sites, in units of the cell vectors:
Al 0.2500 0.7500 0.5000
Al 0.5000 0.5000 0.0000
Si 0.1449 0.6250 0.2500
Si 0.3750 0.3949 0.7500
Si 0.6051 0.1250 0.2500
Sn 0.0000 0.0000 0.0000
Si 0.8750 0.8551 0.7500
Sn 0.7500 0.2500 0.5000

The value obtained for the offset from the most stable computed form is 0.0 meV/atom. For the total energy, the calculation gives -4.38 eV/atom. The energy relative to the elements, uncorrected comes out at 1.059 eV per formula unit. As for the space group: I-42d (122).

***

YEr4S5 | PBE | optimized geometry

Cell lengths 3.8787, 5.4692, 10.2548 Å; angles 105.47, 100.90, 90.00 degrees
Sites, in units of the cell vectors:
S 0.3982 0.8982 0.7964
Y 0.0000 0.0000 0.0000
Er 0.4002 0.4002 0.8003
S 0.6018 0.1018 0.2036
S 0.8004 0.3004 0.6007
Er 0.5998 0.5998 0.1997
Er 0.2008 0.2008 0.4015
S 0.1996 0.6996 0.3993
Er 0.7992 0.7992 0.5985
S 0.0000 0.5000 0.0000

For the total energy, the calculation gives -6.49 eV/atom. The energy relative to the elements, uncorrected comes out at -19.580 eV per formula unit. As for the space group: Immm (71).

***

Number 1: total moment 0.000 μB/cell. Number 2: total moment 0.000 μB/cell. Number 3: total moment 0.000 μB/cell. Number 4: total moment 0.001 μB/cell. Number 5: total moment 0.000 μB/cell. Number 6: total moment 0.000 μB/cell. Number 7: total moment 0.000 μB/cell. Number 8: total moment 3.903 μB/cell. Number 9: total moment 1.032 μB/cell. Number 10: total moment 0.000 μB/cell. Number 11: total moment 0.000 μB/cell. Number 12: total moment 0.000 μB/cell.